Density functional theory data (PBE) for a geometry-optimized Er8Al2Fe structure.

Cell and atoms, written as CIF:
```
data_Er8Al2Fe
_chemical_formula_sum 'Er16 Al4 Fe2'
_symmetry_space_group_name_H-M 'C 1 2/m 1'
_symmetry_Int_Tables_number 12
_cell_length_a 16.916
_cell_length_b 5.306
_cell_length_c 6.750
_cell_angle_alpha 90.00
_cell_angle_beta 112.47
_cell_angle_gamma 90.00
loop_
_symmetry_equiv_pos_as_xyz
'x,y,z'
'-x,-y,-z'
'-x,y,-z'
'x,-y,z'
'x+1/2,y+1/2,z'
'-x+1/2,-y+1/2,-z'
'-x+1/2,y+1/2,-z'
'x+1/2,-y+1/2,z'
loop_
_atom_site_label
_atom_site_type_symbol
_atom_site_fract_x
_atom_site_fract_y
_atom_site_fract_z
Er1 Er 0.010 0.000 0.270
Er2 Er 0.104 0.500 0.902
Er3 Er 0.141 0.500 0.416
Er4 Er 0.197 0.000 0.751
Al1 Al 0.181 0.000 0.190
Fe1 Fe 0.000 0.500 0.500
```

Summary:
Theoretical density ... 8.59 g cm⁻³
E_tot ... -4.90 eV/atom
Energy relative to the elements ... -133 meV/atom
Size of the total moment ... 0.00 μB/cell

Density functional theory data (PBE) for a geometry-optimized La3Nd3Ga4 structure.

Cell and atoms, written as CIF:
```
data_La3Nd3Ga4
_chemical_formula_sum 'La6 Nd6 Ga8'
_symmetry_space_group_name_H-M 'A m m 2'
_symmetry_Int_Tables_number 38
_cell_length_a 4.564
_cell_length_b 11.164
_cell_length_c 11.260
_cell_angle_alpha 90.00
_cell_angle_beta 90.00
_cell_angle_gamma 90.00
loop_
_symmetry_equiv_pos_as_xyz
'x,y,z'
'-x,-y,z'
'-x,y,z'
'x,-y,z'
'x,y+1/2,z+1/2'
'-x,-y+1/2,z+1/2'
'-x,y+1/2,z+1/2'
'x,-y+1/2,z+1/2'
loop_
_atom_site_label
_atom_site_type_symbol
_atom_site_fract_x
_atom_site_fract_y
_atom_site_fract_z
La1 La 0.000 0.000 0.000
La2 La 0.500 0.248 0.078
Nd1 Nd 0.000 0.000 0.652
Nd2 Nd 0.000 0.174 0.329
Ga1 Ga 0.500 0.000 0.216
Ga2 Ga 0.500 0.000 0.446
Ga3 Ga 0.500 0.117 0.825
```

Summary:
Theoretical density ... 6.53 g cm⁻³
E_tot ... -4.60 eV/atom
Energy relative to the elements ... -479 meV/atom
Size of the total moment ... 0.00 μB/cell

Density functional theory data (PBE) for a geometry-optimized SrTl3Hg2 structure.

Cell and atoms, written as CIF:
```
data_SrTl3Hg2
_chemical_formula_sum 'Sr4 Tl12 Hg8'
_symmetry_space_group_name_H-M 'C 1 2/m 1'
_symmetry_Int_Tables_number 12
_cell_length_a 17.645
_cell_length_b 5.188
_cell_length_c 8.072
_cell_angle_alpha 90.00
_cell_angle_beta 91.03
_cell_angle_gamma 90.00
loop_
_symmetry_equiv_pos_as_xyz
'x,y,z'
'-x,-y,-z'
'-x,y,-z'
'x,-y,z'
'x+1/2,y+1/2,z'
'-x+1/2,-y+1/2,-z'
'-x+1/2,y+1/2,-z'
'x+1/2,-y+1/2,z'
loop_
_atom_site_label
_atom_site_type_symbol
_atom_site_fract_x
_atom_site_fract_y
_atom_site_fract_z
Sr1 Sr 0.149 0.000 0.285
Tl1 Tl 0.067 0.000 0.846
Tl2 Tl 0.114 0.500 0.577
Tl3 Tl 0.185 0.500 0.972
Hg1 Hg 0.034 0.500 0.192
Hg2 Hg 0.226 0.000 0.673
```

Summary:
Theoretical density ... 9.91 g cm⁻³
E_tot ... -1.76 eV/atom
Energy relative to the elements ... -198 meV/atom
Polymorph energy (0 for the lowest one) ... 0.15 eV/f.u.
Size of the total moment ... 0.00 μB/cell

Density functional theory data (PBE) for a geometry-optimized WSe2Cl structure.

Cell and atoms, written as CIF:
```
data_WSe2Cl
_chemical_formula_sum 'W2 Se4 Cl2'
_symmetry_space_group_name_H-M 'I m m m'
_symmetry_Int_Tables_number 71
_symmetry_space_group_name_Hall '-I 2 2'
_cell_length_a 3.033
_cell_length_b 5.017
_cell_length_c 12.448
_cell_angle_alpha 90.00
_cell_angle_beta 90.00
_cell_angle_gamma 90.00
loop_
_atom_site_label
_atom_site_type_symbol
_atom_site_fract_x
_atom_site_fract_y
_atom_site_fract_z
W1 W 0.000 0.000 0.000
Se1 Se 0.000 0.500 0.339
Cl1 Cl 0.000 0.000 0.500
```

Summary:
Theoretical density ... 6.61 g cm⁻³
E_tot ... -5.29 eV/atom
Polymorph energy (0 for the lowest one) ... 1.91 eV/f.u.
Size of the total moment ... 0.00 μB/cell